Entry from Alexandria: a relaxed Ac3Pr2Tm2 crystal (PBE).

Cell: 5.652 3.740 12.924 Å, 90.00 77.37 90.00°
Atoms (fractional coordinates):
Ac 0.845 0.000 0.311
Ac 0.155 0.000 0.689
Pr 0.426 0.500 0.148
Tm 0.285 0.500 0.431
Tm 0.715 0.500 0.569
Pr 0.574 0.500 0.852
Ac 0.000 0.000 0.000

## Properties
As for the energy relative to the elements: 5.2 kJ per mole of atoms. The calculation puts the size of the total moment at 0.00 μB/cell. As for the symmetry: Cmmm, No. 65. Its density of states at the Fermi level is 11.223 states/eV/cell. The value obtained for the energy is -4.3498 eV/atom.